# BaDyAgSe3

BaDyAgSe3 after structural relaxation (PBE, Alexandria via LeMat-Bulk).

```
BaDyAgSe3
1.0
8.7176 0.0000 0.0000
0.0000 4.2702 0.0000
-2.6353 0.0000 9.2076
Ba Dy Ag Se
2 2 2 6
Direct
0.2058 0.2500 0.2486
0.7942 0.7500 0.7514
0.3218 0.7500 0.8408
0.6782 0.2500 0.1592
0.0878 0.2500 0.5905
0.9122 0.7500 0.4095
0.1058 0.2500 0.8727
0.2518 0.7500 0.5287
0.4499 0.7500 0.1536
0.5501 0.2500 0.8464
0.7482 0.2500 0.4713
0.8942 0.7500 0.1273
```

Symmetry = P2_1/m (11)
Raw total energy = -58.21 eV for the cell shown
Formation energy without anion corrections = -1.5459 eV/atom
Crystal system = monoclinic